[1]
This record from the Alexandria database describes a relaxed structure of CuMo2Br. The functional is PBE.

Properties
E_form (uncorrected) (eV/atom): 0.63
Space-group type: Imm2 (44)
Crystal system: orthorhombic
Spin magnetization (μB/f.u.): 0.00
Relative energy among the computed polymorphs (meV/atom): 249

Cell and atoms, written as POSCAR:
```
CuMo2Br
1.0
6.491 -0.002 0.001
4.292 4.869 -0.001
-5.053 -3.183 2.543
Br Cu Mo
1 1 2
Direct
0.545 0.545 0.000
0.281 0.781 0.500
0.913 0.913 0.000
0.762 0.262 0.500
```

---

[2]
This record from the Alexandria database describes a relaxed structure of CuMo2Br. The functional is PBE.

Properties
E_form (uncorrected) (eV/atom): 0.86
Space-group type: P4/mmm (123)
Crystal system: tetragonal
Spin magnetization (μB/f.u.): 0.00
Relative energy among the computed polymorphs (meV/atom): 481

Cell and atoms, written as POSCAR:
```
CuMo2Br
1.0
4.607 0.000 0.000
0.000 4.607 0.000
0.000 0.000 2.886
Mo Cu Br
2 1 1
Direct
0.500 0.500 0.000
0.000 0.000 0.000
0.000 0.500 0.500
0.500 0.000 0.500
```

---

[3]
This record from the Alexandria database describes a relaxed structure of Cu2MoBr. The functional is PBE.

Properties
E_form (uncorrected) (eV/atom): 0.78
Space-group type: Pmmm (47)
Crystal system: orthorhombic
Spin magnetization (μB/f.u.): 0.15
Relative energy among the computed polymorphs (meV/atom): 335

Cell and atoms, written as POSCAR:
```
Cu2MoBr
1.0
-1.061 -0.498 -2.701
-0.387 -4.350 0.954
-4.395 0.740 1.589
Mo Br Cu
1 1 2
Direct
0.500 0.000 0.500
0.000 0.500 0.500
0.000 0.000 0.000
0.500 0.500 0.000
```

---

[4]
This record from the Alexandria database describes a relaxed structure of CuMoBr. The functional is PBE.

Properties
E_form (uncorrected) (eV/atom): 1.24
Space-group type: F-43m (216)
Crystal system: cubic
Spin magnetization (μB/f.u.): 0.00
Relative energy among the computed polymorphs (meV/atom): 749

Cell and atoms, written as POSCAR:
```
CuMoBr
1.0
-0.123 1.091 -4.063
-0.408 -2.961 -2.963
-3.596 -0.334 -2.160
Mo Br Cu
1 1 1
Direct
0.500 0.500 0.500
0.250 0.250 0.250
0.000 0.000 0.000
```

---

[5]
This record from the Alexandria database describes a relaxed structure of CuMoBr. The functional is PBE.

Properties
E_form (uncorrected) (eV/atom): 0.49
Space-group type: P3m1 (156)
Crystal system: trigonal
Spin magnetization (μB/f.u.): 0.00
Relative energy among the computed polymorphs (meV/atom): 0

Cell and atoms, written as POSCAR:
```
CuMoBr
1.0
3.096 0.000 0.000
-1.548 2.681 0.000
0.000 0.000 6.424
Mo Cu Br
1 1 1
Direct
0.333 0.667 0.668
0.667 0.333 0.367
0.000 0.000 0.964
```

---

[6]
This record from the Alexandria database describes a relaxed structure of CuMo2Br. The functional is PBE.

Properties
E_form (uncorrected) (eV/atom): 0.91
Space-group type: C2/m (12)
Crystal system: monoclinic
Spin magnetization (μB/f.u.): 0.00
Relative energy among the computed polymorphs (meV/atom): 532

Cell and atoms, written as POSCAR:
```
CuMo2Br
1.0
5.229 -0.001 -0.002
-2.287 4.604 -0.006
0.655 0.861 2.674
Mo Cu Br
2 1 1
Direct
0.500 0.000 0.500
0.000 0.000 0.000
0.500 0.500 0.000
0.000 0.500 0.500
```

---

[7]
This record from the Alexandria database describes a relaxed structure of Cu2MoBr. The functional is PBE.

Properties
E_form (uncorrected) (eV/atom): 0.73
Space-group type: Immm (71)
Crystal system: orthorhombic
Spin magnetization (μB/f.u.): 0.00
Relative energy among the computed polymorphs (meV/atom): 291

Cell and atoms, written as POSCAR:
```
Cu2MoBr
1.0
5.461 0.040 0.000
2.797 4.691 0.000
-3.585 -3.316 2.446
Mo Cu Br
1 2 1
Direct
0.750 0.250 0.500
0.995 0.995 0.000
0.505 0.505 0.000
0.250 0.750 0.500
```

---

[8]
This record from the Alexandria database describes a relaxed structure of CuMoBr. The functional is PBE.

Properties
E_form (uncorrected) (eV/atom): 0.57
Space-group type: I4mm (107)
Crystal system: tetragonal
Spin magnetization (μB/f.u.): 0.00
Relative energy among the computed polymorphs (meV/atom): 81

Cell and atoms, written as POSCAR:
```
CuMoBr
1.0
6.725 -0.161 0.167
6.121 2.791 0.182
0.605 0.108 2.950
Cu Mo Br
1 1 1
Direct
0.293 0.293 0.707
0.669 0.669 0.331
0.039 0.039 0.961
```

---

[9]
This record from the Alexandria database describes a relaxed structure of CuMo3Br. The functional is PBE.

Properties
E_form (uncorrected) (eV/atom): 1.74
Space-group type: Pm-3m (221)
Crystal system: cubic
Spin magnetization (μB/f.u.): 0.00
Relative energy among the computed polymorphs (meV/atom): 0

Cell and atoms, written as POSCAR:
```
CuMo3Br
1.0
4.580 0.000 0.000
0.000 4.580 0.000
0.000 0.000 4.580
Br Mo Cu
1 3 1
Direct
0.000 0.000 0.000
0.000 0.500 0.000
0.500 0.000 0.000
0.000 0.000 0.500
0.500 0.500 0.500
```

---

[10]
This record from the Alexandria database describes a relaxed structure of Cu2MoBr. The functional is PBE.

Properties
E_form (uncorrected) (eV/atom): 0.47
Space-group type: Pmmm (47)
Crystal system: orthorhombic
Spin magnetization (μB/f.u.): 0.00
Relative energy among the computed polymorphs (meV/atom): 30

Cell and atoms, written as POSCAR:
```
Cu2MoBr
1.0
-1.378 -2.264 1.257
1.622 -1.753 -1.379
5.410 0.140 6.180
Cu Br Mo
2 1 1
Direct
0.000 0.749 0.472
0.000 0.751 0.028
0.500 0.750 0.750
0.500 0.250 0.250
```

---

[11]
This record from the Alexandria database describes a relaxed structure of Cu2MoBr4. The functional is PBE.

Properties
E_form (uncorrected) (eV/atom): 0.08
Space-group type: I4/mmm (139)
Crystal system: tetragonal
Spin magnetization (μB/f.u.): 3.51

Cell and atoms, written as POSCAR:
```
Cu2MoBr4
1.0
-4.828 -2.015 1.468
-0.760 -1.858 -5.049
-0.128 -7.205 -0.253
Br Mo Cu
4 1 2
Direct
0.789 0.789 0.422
0.000 0.500 0.000
0.211 0.211 0.578
0.500 0.000 0.000
0.000 0.000 0.000
0.596 0.596 0.807
0.404 0.404 0.193
```

---

[12]
This record from the Alexandria database describes a relaxed structure of CuMoBr. The functional is PBE.

Properties
E_form (uncorrected) (eV/atom): 0.97
Space-group type: F-43m (216)
Crystal system: cubic
Spin magnetization (μB/f.u.): 0.00
Relative energy among the computed polymorphs (meV/atom): 481

Cell and atoms, written as POSCAR:
```
CuMoBr
1.0
-3.170 0.068 -2.869
-1.259 -3.628 -1.881
-3.799 -1.704 0.971
Mo Cu Br
1 1 1
Direct
0.250 0.250 0.250
0.500 0.500 0.500
0.000 0.000 0.000
```